A plane-wave DFT calculation with GGA-PBE was carried out for crystalline LaIn15Hg4 at its relaxed geometry.

Cell lengths 4.6585, 4.6585, 24.6075 Å; angles 90.00, 90.00, 90.00 degrees
Positions (direct):
La 0.0000 0.0000 0.0000
In 0.0000 0.5000 0.1017
In 0.0000 0.5000 0.3000
In 0.0000 0.5000 0.5000
In 0.0000 0.5000 0.7000
In 0.0000 0.5000 0.8983
In 0.5000 0.0000 0.1017
In 0.5000 0.0000 0.3000
In 0.5000 0.0000 0.5000
In 0.5000 0.0000 0.7000
In 0.5000 0.0000 0.8983
In 0.5000 0.5000 0.0000
In 0.5000 0.5000 0.1997
In 0.5000 0.5000 0.3995
In 0.5000 0.5000 0.6005
In 0.5000 0.5000 0.8003
Hg 0.0000 0.0000 0.1988
Hg 0.0000 0.0000 0.4013
Hg 0.0000 0.0000 0.5987
Hg 0.0000 0.0000 0.8012

Computed properties:
* space-group type: No. 123
* formation energy from the elements: -0.068 eV per atom
* volume: 534.0 Å³ per cell

A plane-wave DFT calculation with GGA-PBE was carried out for crystalline Y3Tl2O at its relaxed geometry.

Cell lengths 7.6364, 7.6364, 6.9323 Å; angles 98.38, 98.38, 49.98 degrees
Positions (direct):
Y 0.0916 0.9084 0.7500
Y 0.2917 0.4676 0.3636
Y 0.4676 0.2917 0.8636
Y 0.5324 0.7083 0.1364
Y 0.7083 0.5324 0.6364
Y 0.9084 0.0916 0.2500
Tl 0.1186 0.2501 0.0383
Tl 0.2501 0.1186 0.5383
Tl 0.7499 0.8814 0.4617
Tl 0.8814 0.7499 0.9617
O 0.4323 0.5677 0.7500
O 0.5677 0.4323 0.2500

Computed properties:
* space-group type: No. 15
* E_form (uncorrected): -1.1130 eV/atom
* volume: 305.6 Å³ per cell

A plane-wave DFT calculation with GGA-PBE was carried out for crystalline ZrHI2 at its relaxed geometry.

Cell lengths 8.3493, 8.3493, 8.3493 Å; angles 153.49, 152.10, 38.87 degrees
Positions (direct):
Zr 0.0000 0.0000 0.0000
H 0.5000 0.0000 0.5000
I 0.1373 0.6373 0.5000
I 0.8627 0.3627 0.5000

Computed properties:
* space-group type: No. 71
* E: -4.3057 eV per atom
* volume: 121.4 Å³ per cell

A plane-wave DFT calculation with GGA-PBE was carried out for crystalline Zr2BeNi2 at its relaxed geometry.

Cell lengths 6.7851, 6.7851, 3.4135 Å; angles 90.00, 90.00, 90.00 degrees
Positions (direct):
Zr 0.1780 0.3220 0.0000
Zr 0.3220 0.8220 0.0000
Zr 0.6780 0.1780 0.0000
Zr 0.8220 0.6780 0.0000
Be 0.0000 0.0000 0.5000
Be 0.5000 0.5000 0.5000
Ni 0.1277 0.6277 0.5000
Ni 0.3723 0.1277 0.5000
Ni 0.6277 0.8723 0.5000
Ni 0.8723 0.3723 0.5000

Computed properties:
* space-group type: No. 127
* formation energy from the elements: -0.272 eV per atom
* volume: 157.2 Å³ per cell
* energy above the most stable polymorph in this dataset: 103.0 meV per atom

A plane-wave DFT calculation with GGA-PBE was carried out for crystalline K3AgTe2O8 at its relaxed geometry.

Cell lengths 6.1838, 6.1838, 7.8865 Å; angles 90.00, 90.00, 120.00 degrees
Positions (direct):
K 0.0000 0.0000 0.0000
K 0.3333 0.6667 0.6549
K 0.6667 0.3333 0.3451
Ag 0.0000 0.0000 0.5000
Te 0.3333 0.6667 0.2103
Te 0.6667 0.3333 0.7897
O 0.1722 0.3444 0.2982
O 0.1722 0.8278 0.2982
O 0.3333 0.6667 0.9775
O 0.3444 0.1722 0.7018
O 0.6556 0.8278 0.2982
O 0.6667 0.3333 0.0225
O 0.8278 0.1722 0.7018
O 0.8278 0.6556 0.7018

Computed properties:
* space-group type: No. 164
* E_form (uncorrected): -1.1541 eV/atom
* volume: 261.2 Å³ per cell

A plane-wave DFT calculation with GGA-PBE was carried out for crystalline SrSc2Ru at its relaxed geometry.

Cell lengths 3.6430, 3.6430, 7.9194 Å; angles 90.00, 90.00, 90.00 degrees
Positions (direct):
Sr 0.0000 0.0000 0.0000
Sc 0.0000 0.0000 0.4098
Sc 0.5000 0.5000 0.6413
Ru 0.5000 0.5000 0.3133

Computed properties:
* space-group type: No. 99
* formation energy from the elements: -0.025 eV per atom
* volume: 105.1 Å³ per cell
* energy above the most stable polymorph in this dataset: 177.2 meV per atom

A plane-wave DFT calculation with GGA-PBE was carried out for crystalline CdS at its relaxed geometry.

Cell lengths 7.0025, 7.0025, 7.0025 Å; angles 109.47, 109.47, 109.47 degrees
Positions (direct):
Cd 0.0000 0.0000 0.3215
Cd 0.0000 0.3215 0.0000
Cd 0.3215 0.0000 0.0000
Cd 0.6785 0.6785 0.6785
S 0.0000 0.0000 0.6737
S 0.0000 0.6737 0.0000
S 0.3263 0.3263 0.3263
S 0.6737 0.0000 0.0000

Computed properties:
* space-group type: No. 217
* E_form (uncorrected): -0.5248 eV/atom
* volume: 264.3 Å³ per cell

A plane-wave DFT calculation with GGA-PBE was carried out for crystalline Sm2Ho2Ag3 at its relaxed geometry.

Cell lengths 5.1067, 5.1084, 8.9054 Å; angles 73.37, 89.96, 60.08 degrees
Positions (direct):
Sm 0.1280 0.2471 0.3792
Sm 0.8720 0.7529 0.6208
Ho 0.3764 0.7484 0.1275
Ho 0.6236 0.2516 0.8725
Ag 0.0000 0.5000 0.0000
Ag 0.2518 0.9953 0.7571
Ag 0.7482 0.0047 0.2429

Computed properties:
* space-group type: No. 2
* formation energy from the elements: -0.148 eV per atom
* volume: 190.1 Å³ per cell

A plane-wave DFT calculation with GGA-PBE was carried out for crystalline DyNiRu at its relaxed geometry.

Cell lengths 5.2500, 5.2500, 5.2500 Å; angles 121.54, 121.26, 87.59 degrees
Positions (direct):
Dy 0.3725 0.1225 0.2500
Dy 0.6275 0.8775 0.7500
Ni 0.0000 0.5000 0.5000
Ni 0.5000 0.5000 0.0000
Ru 0.0000 0.0000 0.5000
Ru 0.0000 0.5000 0.0000

Computed properties:
* space-group type: No. 74
* formation energy from the elements: -0.389 eV per atom
* volume: 100.1 Å³ per cell
* energy above the most stable polymorph in this dataset: 0.0 meV per atom

A plane-wave DFT calculation with GGA-PBE was carried out for crystalline TcIr4Rh2 at its relaxed geometry.

Cell lengths 5.7062, 5.7062, 4.5472 Å; angles 90.00, 90.00, 127.43 degrees
Positions (direct):
Tc 0.0000 0.0000 0.0000
Ir 0.1232 0.8768 0.5000
Ir 0.2762 0.7238 0.0000
Ir 0.7238 0.2762 0.0000
Ir 0.8768 0.1232 0.5000
Rh 0.3822 0.6178 0.5000
Rh 0.6178 0.3822 0.5000

Computed properties:
* space-group type: No. 65
* formation energy from the elements: 0.797 eV per atom
* volume: 117.6 Å³ per cell
* energy above the most stable polymorph in this dataset: 698.8 meV per atom

A plane-wave DFT calculation with GGA-PBE was carried out for crystalline AsRhSe2 at its relaxed geometry.

Cell lengths 6.2532, 6.2532, 6.2532 Å; angles 149.81, 139.66, 51.21 degrees
Positions (direct):
As 0.0000 0.0000 0.0000
Rh 0.1778 0.6778 0.5000
Se 0.3535 0.3535 0.0000
Se 0.6491 0.1491 0.5000

Computed properties:
* space-group type: No. 44
* E_form (uncorrected): 0.0405 eV/atom
* volume: 79.2 Å³ per cell

A plane-wave DFT calculation with GGA-PBE was carried out for crystalline CaPt2Br at its relaxed geometry.

Cell lengths 11.4865, 11.4865, 11.4865 Å; angles 160.40, 160.40, 27.85 degrees
Positions (direct):
Ca 0.0000 0.0000 0.0000
Ca 0.7500 0.2500 0.5000
Pt 0.1160 0.6250 0.9910
Pt 0.3750 0.3660 0.4910
Pt 0.6340 0.1250 0.0090
Pt 0.8750 0.8840 0.5090
Br 0.2500 0.7500 0.5000
Br 0.5000 0.5000 0.0000

Computed properties:
* space-group type: No. 122
* E_form (uncorrected): -0.4462 eV/atom
* volume: 170.4 Å³ per cell
* energy above the most stable polymorph in this dataset: 277.8 meV per atom

A plane-wave DFT calculation with GGA-PBE was carried out for crystalline BaBeCuAs2 at its relaxed geometry.

Cell lengths 7.1355, 7.1355, 7.1355 Å; angles 147.50, 147.50, 46.62 degrees
Positions (direct):
Ba 0.0000 0.0000 0.0000
Be 0.7500 0.2500 0.5000
Cu 0.2500 0.7500 0.5000
As 0.3545 0.3545 0.0000
As 0.6455 0.6455 0.0000

Computed properties:
* space-group type: No. 119
* formation energy from the elements: -0.519 eV per atom
* volume: 104.5 Å³ per cell

A plane-wave DFT calculation with GGA-PBE was carried out for crystalline ZrAl2Co at its relaxed geometry.

Cell lengths 2.9628, 2.9628, 7.0030 Å; angles 90.00, 90.00, 90.00 degrees
Positions (direct):
Zr 0.0000 0.0000 0.0000
Al 0.5000 0.5000 0.3042
Al 0.5000 0.5000 0.6958
Co 0.0000 0.0000 0.5000

Computed properties:
* space-group type: No. 123
* formation energy from the elements: -0.492 eV per atom
* volume: 61.5 Å³ per cell

A plane-wave DFT calculation with GGA-PBE was carried out for crystalline Na2CuAg2 at its relaxed geometry.

Cell lengths 5.4616, 5.4616, 5.1718 Å; angles 90.00, 90.00, 90.00 degrees
Positions (direct):
Na 0.0000 0.5000 0.0000
Na 0.5000 0.0000 0.0000
Cu 0.0000 0.0000 0.5000
Ag 0.5000 0.5000 0.0000
Ag 0.5000 0.5000 0.5000

Computed properties:
* space-group type: No. 123
* formation energy from the elements: 0.569 eV per atom
* volume: 154.3 Å³ per cell
* energy above the most stable polymorph in this dataset: 452.1 meV per atom

A plane-wave DFT calculation with GGA-PBE was carried out for crystalline CsCd2C2O6 at its relaxed geometry.

Cell lengths 5.2942, 5.6255, 7.4646 Å; angles 107.18, 104.73, 100.15 degrees
Positions (direct):
Cs 0.0000 0.0000 0.0000
Cd 0.2599 0.8111 0.4849
Cd 0.7401 0.1889 0.5151
C 0.3366 0.4375 0.7084
C 0.6634 0.5625 0.2916
O 0.1845 0.2085 0.6804
O 0.2169 0.6211 0.7089
O 0.4084 0.5235 0.2684
O 0.5916 0.4765 0.7316
O 0.7831 0.3789 0.2911
O 0.8155 0.7915 0.3196

Computed properties:
* space-group type: No. 2
* E_form (uncorrected): -1.3108 eV/atom
* volume: 197.7 Å³ per cell

A plane-wave DFT calculation with GGA-PBE was carried out for crystalline MoAsSN2 at its relaxed geometry.

Cell lengths 3.7599, 3.7599, 4.8215 Å; angles 90.00, 90.00, 90.00 degrees
Positions (direct):
Mo 0.0000 0.0000 0.0000
As 0.5000 0.5000 0.5000
S 0.5000 0.5000 0.0000
N 0.0000 0.5000 0.5000
N 0.5000 0.0000 0.5000

Computed properties:
* space-group type: No. 123
* E_form (uncorrected): 1.4219 eV/atom
* volume: 68.2 Å³ per cell
* energy above the most stable polymorph in this dataset: 785.4 meV per atom

A plane-wave DFT calculation with GGA-PBE was carried out for crystalline LaThRuAu at its relaxed geometry.

Cell lengths 7.7623, 7.7623, 7.7623 Å; angles 30.82, 30.82, 30.82 degrees
Positions (direct):
La 0.0000 0.0000 0.0000
Th 0.8081 0.8081 0.8081
Ru 0.4100 0.4100 0.4100
Au 0.2359 0.2359 0.2359

Computed properties:
* space-group type: No. 160
* formation energy from the elements: -0.552 eV per atom
* volume: 108.9 Å³ per cell
* energy above the most stable polymorph in this dataset: 0.0 meV per atom

A plane-wave DFT calculation with GGA-PBE was carried out for crystalline Mg2NiW at its relaxed geometry.

Cell lengths 5.6664, 5.6664, 5.6664 Å; angles 151.65, 129.95, 58.52 degrees
Positions (direct):
Mg 0.0000 0.0000 0.0000
Mg 0.7117 0.2117 0.5000
Ni 0.2263 0.7263 0.5000
W 0.4377 0.4377 0.0000

Computed properties:
* space-group type: No. 44
* formation energy from the elements: 0.335 eV per atom
* volume: 65.8 Å³ per cell
* energy above the most stable polymorph in this dataset: 225.8 meV per atom

A plane-wave DFT calculation with GGA-PBE was carried out for crystalline PmAsPbAu at its relaxed geometry.

Cell lengths 5.1798, 5.1798, 5.1798 Å; angles 60.00, 60.00, 60.00 degrees
Positions (direct):
Pm 0.0000 0.0000 0.0000
As 0.7500 0.7500 0.7500
Pb 0.5000 0.5000 0.5000
Au 0.2500 0.2500 0.2500

Computed properties:
* space-group type: No. 216
* formation energy from the elements: -0.531 eV per atom
* volume: 98.3 Å³ per cell